1.
Computed, not measured: a relaxed PrHfTiIr2 crystal at the PBE level of DFT.

abc: 4.396 4.396 6.319
angles: 110.36 110.36 90.00
Fractional positions:
1 Pr 0.000 0.000 0.000
2 Hf 0.750 0.250 0.500
3 Ti 0.250 0.750 0.500
4 Ir 0.620 0.620 0.240
5 Ir 0.380 0.380 0.760

Values from the calculation:
Its crystal system is tetragonal. For the calculated formation energy, the calculation gives -0.7873 eV/atom. Its calculated total energy is -0.6510 Ry per atom. The value obtained for the size of the total moment is 0.000 μB per formula unit. The space group is No. 119.

2.
Computed, not measured: a relaxed HoErHgBi crystal at the PBE level of DFT.

abc: 5.357 5.357 5.357
angles: 60.00 60.00 60.00
Fractional positions:
1 Ho 0.500 0.500 0.500
2 Er 0.000 0.000 0.000
3 Bi 0.250 0.250 0.250
4 Hg 0.750 0.750 0.750

Values from the calculation:
Its crystal system is cubic. For the calculated formation energy, the calculation gives -0.4648 eV/atom. Its calculated total energy is -0.2790 Ry per atom. The value obtained for the size of the total moment is 0.001 μB per formula unit. The space group is No. 216.